Mg2BiBr: relaxed, PBE-GGA.

Summary:
Formation energy from raw total energies   -304.4 meV/atom
Relative energy among the computed polymorphs   334 meV/atom
E   -2.49 eV/atom
Spin magnetization   0.0 μB/f.u.

Lattice parameters (Å, degrees): 5.261 5.261 5.261 60.00 60.00 60.00
Atoms (fractional coordinates):
Bi: 0.500 0.500 0.500
Br: 0.000 0.000 0.000
Mg: 0.750 0.750 0.750
Mg: 0.250 0.250 0.250


BaAs2O2: relaxed, PBE-GGA.

Summary:
Formation energy from raw total energies   -584.8 meV/atom
Relative energy among the computed polymorphs   147 meV/atom
E   -4.81 eV/atom
Spin magnetization   0.0 μB/f.u.

Lattice parameters (Å, degrees): 4.595 4.595 5.394 64.79 64.79 90.00
Atoms (fractional coordinates):
As: 0.640 0.640 0.719
Ba: 0.000 0.000 0.000
As: 0.360 0.360 0.281
O: 0.750 0.250 0.500
O: 0.250 0.750 0.500


Hg3W: relaxed, PBE-GGA.

Summary:
Relative energy among the computed polymorphs   366 meV/atom
E   -2.65 eV/atom
Formation energy   3.3 eV/f.u.
Spin magnetization   0.2 μB/f.u.

Lattice parameters (Å, degrees): 2.964 4.456 6.166 90.00 90.00 90.00
Site moments in Bohr magnetons follow the coordinates.
Atoms (fractional coordinates):
Hg: 0.000 0.000 0.020  0.00
Hg: 0.000 0.000 0.480  0.00
W: 0.500 0.500 0.250  0.21
Hg: 0.500 0.500 0.750  -0.01


LiScRe2: relaxed, PBE-GGA.

Summary:
Relative energy among the computed polymorphs   66 meV/atom
E   -8.24 eV/atom
Formation energy   0.2 eV/f.u.
Spin magnetization   0.0 μB/f.u.

Lattice parameters (Å, degrees): 3.127 3.127 6.511 90.00 90.00 90.00
Atoms (fractional coordinates):
Sc: 0.000 0.000 0.500
Re: 0.500 0.500 0.218
Li: 0.500 0.500 0.778
Re: 0.000 0.000 0.004


Pm3Ga2Sn: relaxed, PBE-GGA.

Summary:
Relative energy among the computed polymorphs   0 meV/atom
E   -4.64 eV/atom
Formation energy   -3.5 eV/f.u.
Spin magnetization   0.0 μB/f.u.

Lattice parameters (Å, degrees): 3.498 3.498 12.646 90.00 90.00 90.00
Atoms (fractional coordinates):
Pm: 0.000 0.000 0.000
Pm: 0.000 0.000 0.681
Sn: 0.500 0.500 0.500
Pm: 0.000 0.000 0.319
Ga: 0.500 0.500 0.161
Ga: 0.500 0.500 0.839


ZnNi3Ir: relaxed, PBE-GGA.

Summary:
Relative energy among the computed polymorphs   1285 meV/atom
E   -4.30 eV/atom
Formation energy   6.0 eV/f.u.
Spin magnetization   1.9 μB/f.u.

Lattice parameters (Å, degrees): 4.213 4.213 4.213 90.00 90.00 90.00
Site moments in Bohr magnetons follow the coordinates.
Atoms (fractional coordinates):
Ni: 0.000 0.500 0.000  0.41
Ir: 0.500 0.500 0.500  0.64
Zn: 0.000 0.000 0.000  -0.03
Ni: 0.500 0.000 0.000  0.68
Ni: 0.000 0.000 0.500  0.29


ZrCr3Si: relaxed, PBE-GGA.

Summary:
Formation energy from raw total energies   1888.3 meV/atom
Relative energy among the computed polymorphs   1297 meV/atom
E   -6.68 eV/atom
Spin magnetization   9.0 μB/f.u.

Lattice parameters (Å, degrees): 4.731 4.731 4.731 90.00 90.00 90.00
Site moments in Bohr magnetons follow the coordinates.
Atoms (fractional coordinates):
Cr: 0.000 0.500 0.000  2.86
Cr: 0.500 0.000 0.000  3.39
Zr: 0.000 0.000 0.000  -0.30
Cr: 0.000 0.000 0.500  2.61
Si: 0.500 0.500 0.500  -0.10


Tl5Hg5Au2: relaxed, PBE-GGA.

Summary:
E   -1.67 eV/atom
Formation energy   -0.1 eV/f.u.
Spin magnetization   0.0 μB/f.u.

Lattice parameters (Å, degrees): 3.718 10.380 9.174 92.38 78.31 79.68
Atoms (fractional coordinates):
Hg: 0.250 0.742 0.758
Au: 0.853 0.511 0.783
Tl: 0.663 0.992 0.682
Tl: 0.624 0.677 0.076
Tl: 0.337 0.008 0.318
Tl: 0.376 0.323 0.924
Hg: 0.919 0.756 0.407
Hg: 0.000 0.000 0.000
Hg: 0.081 0.244 0.593
Hg: 0.750 0.258 0.242
Au: 0.147 0.489 0.217
Tl: 0.500 0.500 0.500


RbTePd: relaxed, PBE-GGA.

Summary:
Formation energy from raw total energies   -452.2 meV/atom
E   -3.55 eV/atom
Spin magnetization   0.0 μB/f.u.

Lattice parameters (Å, degrees): 3.913 3.913 6.823 106.66 106.66 90.00
Atoms (fractional coordinates):
Te: 0.729 0.729 0.457
Pd: 0.265 0.265 0.530
Rb: 0.006 0.006 0.013


LaAlI2O: relaxed, PBE-GGA.

Summary:
Formation energy from raw total energies   -1254.9 meV/atom
Relative energy among the computed polymorphs   0 meV/atom
E   -4.60 eV/atom
Spin magnetization   0.0 μB/f.u.

Lattice parameters (Å, degrees): 6.575 6.575 4.336 90.00 90.00 90.00
Atoms (fractional coordinates):
I: 0.500 0.000 0.000
Al: 0.500 0.500 0.500
La: 0.000 0.000 0.000
I: 0.000 0.500 0.000
O: 0.000 0.000 0.500


ScTcPt2: relaxed, PBE-GGA.

Summary:
Relative energy among the computed polymorphs   44 meV/atom
E   -7.79 eV/atom
Formation energy   -2.4 eV/f.u.
Spin magnetization   0.0 μB/f.u.

Lattice parameters (Å, degrees): 4.048 2.823 6.278 63.14 90.00 90.00
Atoms (fractional coordinates):
Pt: 0.000 0.011 0.989
Tc: 0.500 0.750 0.750
Pt: 0.000 0.489 0.511
Sc: 0.500 0.250 0.250


PrCoGe2Pd: relaxed, PBE-GGA.

Summary:
E   -5.93 eV/atom
Formation energy   -3.3 eV/f.u.
Spin magnetization   1.3 μB/f.u.

Lattice parameters (Å, degrees): 4.210 4.210 5.954 110.70 110.70 90.00
Site moments in Bohr magnetons follow the coordinates.
Atoms (fractional coordinates):
Co: 0.750 0.250 0.500  1.12
Pd: 0.250 0.750 0.500  0.11
Pr: 0.000 0.000 0.000  0.03
Ge: 0.625 0.625 0.251  0.00
Ge: 0.375 0.375 0.749  0.00


ZrTl2As: relaxed, PBE-GGA.

Summary:
Relative energy among the computed polymorphs   104 meV/atom
E   -4.66 eV/atom
Formation energy   -0.7 eV/f.u.
Spin magnetization   0.0 μB/f.u.

Lattice parameters (Å, degrees): 9.010 9.010 9.010 24.11 24.11 24.11
Atoms (fractional coordinates):
Zr: 0.488 0.488 0.488
As: 0.763 0.763 0.763
Tl: 0.241 0.241 0.241
Tl: 0.009 0.009 0.009


SmCo5Si3: relaxed, PBE-GGA.

Summary:
Formation energy from raw total energies   -550.2 meV/atom
E   -6.83 eV/atom
Spin magnetization   1.4 μB/f.u.

Lattice parameters (Å, degrees): 3.723 6.146 11.253 90.00 90.00 107.63
Site moments in Bohr magnetons follow the coordinates.
Atoms (fractional coordinates):
Si: 0.109 0.217 0.750  -0.01
Co: 0.193 0.387 0.565  0.11
Si: 0.619 0.239 0.459  -0.01
Sm: 0.830 0.659 0.750  -0.03
Si: 0.619 0.239 0.041  -0.01
Co: 0.000 0.000 0.500  0.39
Co: 0.807 0.613 0.435  0.11
Co: 0.000 0.000 0.000  0.39
Co: 0.807 0.613 0.065  0.11
Sm: 0.170 0.341 0.250  -0.03
Si: 0.891 0.783 0.250  -0.01
Co: 0.193 0.387 0.935  0.11
Co: 0.550 0.099 0.854  0.47
Co: 0.550 0.099 0.646  0.47
Si: 0.381 0.761 0.959  -0.01
Co: 0.450 0.901 0.354  0.47
Co: 0.450 0.901 0.146  0.47
Si: 0.381 0.761 0.541  -0.01